Record 1
First-principles (PBE-GGA) data for a relaxed structure of KTeO3, as listed in Alexandria via LeMat-Bulk.

Lattice parameters (Å, degrees): 15.521 3.239 7.383 90.00 90.32 90.00
Space group C2/m (No. 12)
Inequivalent atoms, fractional coordinates:
K  0.159  0.000  0.168 (multiplicity 4)
Te  0.094  0.500  0.688 (multiplicity 4)
O  0.017  0.000  0.763 (multiplicity 4)
O  0.146  0.000  0.548 (multiplicity 4)
O  0.168  0.500  0.883 (multiplicity 4)

## Properties
* uncorrected energy: -98.77 eV/cell
* ΔE_f (raw): -1.116 eV per atom


Record 2
First-principles (PBE-GGA) data for a relaxed structure of KTeO4, as listed in Alexandria via LeMat-Bulk.

Lattice parameters (Å, degrees): 13.530 5.078 5.427 90.00 107.76 90.00
Space group C2/c (No. 15)
Inequivalent atoms, fractional coordinates:
K  0.000  0.194  0.250 (multiplicity 4)
Te  0.250  0.250  0.000 (multiplicity 4)
O  0.113  0.388  0.913 (multiplicity 8)
O  0.197  0.034  0.682 (multiplicity 8)

## Properties
* uncorrected energy: -119.01 eV/cell
* ΔE_f (raw): -0.947 eV per atom


Record 3
First-principles (PBE-GGA) data for a relaxed structure of KTeO3, as listed in Alexandria via LeMat-Bulk.

Lattice parameters (Å, degrees): 4.082 4.082 4.082 90.00 90.00 90.00
Space group Pm-3m (No. 221)
Inequivalent atoms, fractional coordinates:
K  0.000  0.000  0.000 (multiplicity 1)
Te  0.500  0.500  0.500 (multiplicity 1)
O  0.000  0.500  0.500 (multiplicity 3)

## Properties
* uncorrected energy: -25.22 eV/cell
* ΔE_f (raw): -1.222 eV per atom


Record 4
First-principles (PBE-GGA) data for a relaxed structure of KTeO4, as listed in Alexandria via LeMat-Bulk.

Lattice parameters (Å, degrees): 8.235 11.307 5.207 90.00 127.10 90.00
Space group C2/c (No. 15)
Inequivalent atoms, fractional coordinates:
K  0.000  0.160  0.250 (multiplicity 4)
Te  0.000  0.423  0.750 (multiplicity 4)
O  0.161  0.447  0.223 (multiplicity 8)
O  0.187  0.311  0.787 (multiplicity 8)

## Properties
* uncorrected energy: -120.12 eV/cell
* ΔE_f (raw): -0.993 eV per atom


Record 5
First-principles (PBE-GGA) data for a relaxed structure of K2TeO4, as listed in Alexandria via LeMat-Bulk.

Lattice parameters (Å, degrees): 7.044 11.590 8.058 90.00 115.89 90.00
Space group C2/c (No. 15)
Inequivalent atoms, fractional coordinates:
K  0.000  0.055  0.250 (multiplicity 4)
K  0.000  0.306  0.750 (multiplicity 4)
Te  0.000  0.375  0.250 (multiplicity 4)
O  0.082  0.278  0.110 (multiplicity 8)
O  0.221  0.471  0.390 (multiplicity 8)

## Properties
* uncorrected energy: -140.46 eV/cell
* polymorph energy (0 for the lowest one): 0.000 eV per atom
* ΔE_f (raw): -1.421 eV per atom


Record 6
First-principles (PBE-GGA) data for a relaxed structure of K2TeO4, as listed in Alexandria via LeMat-Bulk.

Lattice parameters (Å, degrees): 4.025 4.025 13.488 90.00 90.00 90.00
Space group I4/mmm (No. 139)
Inequivalent atoms, fractional coordinates:
K  0.000  0.000  0.156 (multiplicity 4)
Te  0.000  0.000  0.500 (multiplicity 2)
O  0.000  0.000  0.360 (multiplicity 4)
O  0.000  0.500  0.000 (multiplicity 4)

## Properties
* uncorrected energy: -69.53 eV/cell
* polymorph energy (0 for the lowest one): 0.050 eV per atom
* ΔE_f (raw): -1.371 eV per atom


Record 7
First-principles (PBE-GGA) data for a relaxed structure of K4TeO5, as listed in Alexandria via LeMat-Bulk.

Lattice parameters (Å, degrees): 8.199 8.199 5.686 90.00 90.00 90.00
Space group I4 (No. 79)
Inequivalent atoms, fractional coordinates:
K  0.101  0.705  0.000 (multiplicity 8)
Te  0.000  0.000  0.535 (multiplicity 2)
O  0.000  0.000  0.867 (multiplicity 2)
O  0.070  0.777  0.473 (multiplicity 8)

## Properties
* uncorrected energy: -93.83 eV/cell
* ΔE_f (raw): -1.459 eV per atom


Record 8
First-principles (PBE-GGA) data for a relaxed structure of K2Te2O7, as listed in Alexandria via LeMat-Bulk.

Lattice parameters (Å, degrees): 6.544 7.581 6.376 90.00 90.00 90.00
Space group Cmmm (No. 65)
Inequivalent atoms, fractional coordinates:
K  0.235  0.000  0.000 (multiplicity 4)
Te  0.000  0.279  0.500 (multiplicity 4)
O  0.000  0.000  0.500 (multiplicity 2)
O  0.000  0.500  0.313 (multiplicity 4)
O  0.250  0.250  0.303 (multiplicity 8)

## Properties
* uncorrected energy: -106.77 eV/cell
* polymorph energy (0 for the lowest one): 0.293 eV per atom
* ΔE_f (raw): -0.927 eV per atom